This record from the Alexandria database describes a relaxed ThIrAu crystal. The functional is GGA-PBE.

Cell: 5.388 5.388 5.388 Å, 139.02 139.02 59.34°
Element x y z (fractional)
1 Th 0.000 0.000 0.000
2 Ir 0.364 0.364 0.000
3 Au 0.683 0.683 0.000

Summary:
relative energy among the computed polymorphs: 0.61 eV/f.u.
symmetry: I4mm, No. 107
uncorrected energy: -7.09 eV per atom
density of states at the Fermi level: 0.322 states/eV per atom
E_form: -0.572 eV/atom
V: 22.20 Å³/atom